The following is a GGA-PBE calculation of a relaxed structure of NaLiTiTe3, from the Alexandria database.

a = 8.2347 Å, b = 3.9684 Å, c = 10.4218 Å
α = 90.00°, β = 108.13°, γ = 90.00°
Space group P2_1/m (No. 11)
Inequivalent atoms, fractional coordinates:
Na1 0.2222 0.2500 0.1901
Li1 0.4308 0.2500 0.8998
Ti1 0.1939 0.7500 0.6643
Te1 0.0667 0.7500 0.3763
Te2 0.2259 0.7500 0.9355
Te3 0.4218 0.2500 0.6427

Values from the calculation:
formation energy from raw total energies: -787 meV/atom